Computed, not measured: crystalline HfMgBr3 at its relaxed geometry at the PBE-GGA level of DFT.

Summary:
space-group type	Pm-3m (221)
ΔE to the lowest computed polymorph	422	meV per atom
E_form (uncorrected)	-0.096	eV/atom
uncorrected energy	-17.05	eV/cell

Cell: 5.213 5.213 5.213 Å, 90.00 90.00 90.00°
Fractional positions:
Br: 0.000 0.500 0.000
Br: 0.500 0.000 0.000
Mg: 0.000 0.000 0.000
Br: 0.000 0.000 0.500
Hf: 0.500 0.500 0.500

Computed, not measured: crystalline PbAuSe2 at its relaxed geometry at the PBE-GGA level of DFT.

Summary:
space-group type	I4mm (107)
E_form (uncorrected)	-0.122	eV/atom
uncorrected energy	-14.44	eV/cell

Cell: 6.572 6.572 4.103 Å, 108.25 108.25 36.39°
Fractional positions:
Au: 0.493 0.493 0.493
Pb: 0.737 0.737 0.737
Se: 0.996 0.996 0.996
Se: 0.274 0.274 0.274

Computed, not measured: crystalline Nd3DyTl4 at its relaxed geometry at the PBE-GGA level of DFT.

Summary:
space-group type	Immm (71)
energy of formation from the pure elements	-243	meV/atom
ΔE to the lowest computed polymorph	141	meV per atom
uncorrected energy	-30.31	eV/cell

Cell: 3.724 7.342 10.153 Å, 111.18 100.57 90.00°
Fractional positions:
Tl: 0.626 0.411 0.251
Nd: 0.217 0.217 0.433
Tl: 0.374 0.159 0.748
Nd: 0.783 0.783 0.567
Tl: 0.626 0.841 0.252
Dy: 0.500 0.000 0.000
Nd: 0.000 0.500 0.000
Tl: 0.374 0.589 0.749

Computed, not measured: crystalline La2Er2Tm3 at its relaxed geometry at the PBE-GGA level of DFT.

Summary:
space-group type	C2/m (12)
energy of formation from the pure elements	35	meV/atom
ΔE to the lowest computed polymorph	0	meV per atom
uncorrected energy	-32.15	eV/cell

Cell: 3.572 8.736 7.974 Å, 111.23 102.94 90.00°
Fractional positions:
Tm: 0.712 0.141 0.423
Er: 0.854 0.571 0.707
Er: 0.146 0.429 0.293
Tm: 0.000 0.000 0.000
La: 0.572 0.717 0.144
Tm: 0.288 0.859 0.577
La: 0.428 0.283 0.856